RbMn3Al: single point on PBEsol structure, meta-GGA SCAN.

## Properties
The density of states at the Fermi level is 4.86 states/eV/cell. Its calculated volume is 123.5 Å³/cell. For the formation energy, the calculation gives 3.07 eV/f.u. The total magnetic moment is 13.3 μB/cell.

```
data_RbMn3Al
_chemical_formula_sum 'Rb1 Mn3 Al1'
_cell_length_a 4.9798
_cell_length_b 4.9798
_cell_length_c 4.9798
_cell_angle_alpha 90.00
_cell_angle_beta 90.00
_cell_angle_gamma 90.00
_symmetry_space_group_name_H-M 'P m -3 m'
_symmetry_Int_Tables_number 221
_symmetry_space_group_name_Hall '-P 4 2 3'
loop_
_atom_site_label
_atom_site_fract_x
_atom_site_fract_y
_atom_site_fract_z
Rb1 0.0000 0.0000 0.0000
Mn1 0.0000 0.5000 0.5000
Al1 0.5000 0.5000 0.5000
```

RbZrMnAl2: single point on PBEsol structure, meta-GGA SCAN.

## Properties
The density of states at the Fermi level is 3.33 states/eV/cell. Its calculated volume is 120.4 Å³/cell. For the formation energy, the calculation gives 9.61 eV/f.u. The total magnetic moment is 4.4 μB/cell.

```
data_RbZrMnAl2
_chemical_formula_sum 'Rb1 Zr1 Mn1 Al2'
_cell_length_a 5.0924
_cell_length_b 5.0924
_cell_length_c 4.6442
_cell_angle_alpha 90.00
_cell_angle_beta 90.00
_cell_angle_gamma 90.00
_symmetry_space_group_name_H-M 'P 4/m m m'
_symmetry_Int_Tables_number 123
_symmetry_space_group_name_Hall '-P 4 2'
loop_
_atom_site_label
_atom_site_fract_x
_atom_site_fract_y
_atom_site_fract_z
Rb1 0.0000 0.0000 0.0000
Zr1 0.5000 0.5000 0.5000
Mn1 0.0000 0.0000 0.5000
Al1 0.0000 0.5000 0.0000
```

MnAl2Re: single point on PBEsol structure, meta-GGA SCAN.

## Properties
The density of states at the Fermi level is 3.96 states/eV/cell. Its calculated volume is 110.2 Å³/cell. For the formation energy, the calculation gives -1.35 eV/f.u. The total magnetic moment is 8.2 μB/cell.

```
data_MnAl2Re
_chemical_formula_sum 'Mn2 Al4 Re2'
_cell_length_a 3.9486
_cell_length_b 3.9486
_cell_length_c 7.0699
_cell_angle_alpha 90.00
_cell_angle_beta 90.00
_cell_angle_gamma 90.00
_symmetry_space_group_name_H-M 'I 4/m m m'
_symmetry_Int_Tables_number 139
_symmetry_space_group_name_Hall '-I 4 2'
loop_
_atom_site_label
_atom_site_fract_x
_atom_site_fract_y
_atom_site_fract_z
Mn1 0.0000 0.0000 0.0000
Al1 0.0000 0.5000 0.2500
Re1 0.0000 0.0000 0.5000
```

MnAl4Re: single point on PBEsol structure, meta-GGA SCAN.

## Properties
The density of states at the Fermi level is 9.05 states/eV/cell. Its calculated volume is 345.3 Å³/cell. For the formation energy, the calculation gives 0.03 eV/f.u. The total magnetic moment is 17.6 μB/cell.

```
data_MnAl4Re
_chemical_formula_sum 'Mn4 Al16 Re4'
_cell_length_a 7.0153
_cell_length_b 7.0153
_cell_length_c 7.0153
_cell_angle_alpha 90.00
_cell_angle_beta 90.00
_cell_angle_gamma 90.00
_symmetry_space_group_name_H-M 'F -4 3 m'
_symmetry_Int_Tables_number 216
_symmetry_space_group_name_Hall 'F -4 2 3'
loop_
_atom_site_label
_atom_site_fract_x
_atom_site_fract_y
_atom_site_fract_z
Mn1 0.0000 0.0000 0.0000
Al1 0.1253 0.1253 0.6253
Re1 0.2500 0.2500 0.2500
```

MnAl2Re: single point on PBEsol structure, meta-GGA SCAN.

## Properties
The density of states at the Fermi level is 1.05 states/eV/cell. Its calculated volume is 52.2 Å³/cell. For the formation energy, the calculation gives -1.09 eV/f.u. The total magnetic moment is 0.0 μB/cell.

```
data_MnAl2Re
_chemical_formula_sum 'Mn1 Al2 Re1'
_cell_length_a 2.9681
_cell_length_b 2.9681
_cell_length_c 5.9254
_cell_angle_alpha 90.00
_cell_angle_beta 90.00
_cell_angle_gamma 90.00
_symmetry_space_group_name_H-M 'P 4 m m'
_symmetry_Int_Tables_number 99
_symmetry_space_group_name_Hall 'P 4 -2'
loop_
_atom_site_label
_atom_site_fract_x
_atom_site_fract_y
_atom_site_fract_z
Mn1 0.0000 0.0000 0.0000
Al1 0.0000 0.0000 0.5062
Al2 0.5000 0.5000 0.7854
Re1 0.5000 0.5000 0.2529
```

MnAlRh2: single point on PBEsol structure, meta-GGA SCAN.

## Properties
The density of states at the Fermi level is 2.48 states/eV/cell. Its calculated volume is 52.6 Å³/cell. For the formation energy, the calculation gives -3.84 eV/f.u. The total magnetic moment is 4.2 μB/cell.

```
data_MnAlRh2
_chemical_formula_sum 'Mn1 Al1 Rh2'
_cell_length_a 4.1920
_cell_length_b 4.1920
_cell_length_c 2.9949
_cell_angle_alpha 90.00
_cell_angle_beta 90.00
_cell_angle_gamma 90.00
_symmetry_space_group_name_H-M 'P 4/m m m'
_symmetry_Int_Tables_number 123
_symmetry_space_group_name_Hall '-P 4 2'
loop_
_atom_site_label
_atom_site_fract_x
_atom_site_fract_y
_atom_site_fract_z
Mn1 0.0000 0.0000 0.0000
Al1 0.5000 0.5000 0.0000
Rh1 0.0000 0.5000 0.5000
```

Mn4AlRh: single point on PBEsol structure, meta-GGA SCAN.

## Properties
The density of states at the Fermi level is 26.29 states/eV/cell. Its calculated volume is 278.3 Å³/cell. For the formation energy, the calculation gives -0.12 eV/f.u. The total magnetic moment is 26.6 μB/cell.

```
data_Mn4AlRh
_chemical_formula_sum 'Mn16 Al4 Rh4'
_cell_length_a 6.5291
_cell_length_b 6.5291
_cell_length_c 6.5291
_cell_angle_alpha 90.00
_cell_angle_beta 90.00
_cell_angle_gamma 90.00
_symmetry_space_group_name_H-M 'F -4 3 m'
_symmetry_Int_Tables_number 216
_symmetry_space_group_name_Hall 'F -4 2 3'
loop_
_atom_site_label
_atom_site_fract_x
_atom_site_fract_y
_atom_site_fract_z
Mn1 0.1241 0.1241 0.1241
Al1 0.2500 0.2500 0.7500
Rh1 0.0000 0.0000 0.5000
```

MnAlRh2: single point on PBEsol structure, meta-GGA SCAN.

## Properties
The density of states at the Fermi level is 6.07 states/eV/cell. Its calculated volume is 106.1 Å³/cell. For the formation energy, the calculation gives -2.80 eV/f.u. The total magnetic moment is 8.4 μB/cell.

```
data_MnAlRh2
_chemical_formula_sum 'Mn2 Al2 Rh4'
_cell_length_a 2.9685
_cell_length_b 4.1265
_cell_length_c 8.6651
_cell_angle_alpha 90.00
_cell_angle_beta 90.00
_cell_angle_gamma 90.00
_symmetry_space_group_name_H-M 'I m m 2'
_symmetry_Int_Tables_number 44
_symmetry_space_group_name_Hall 'I 2 -2'
loop_
_atom_site_label
_atom_site_fract_x
_atom_site_fract_y
_atom_site_fract_z
Mn1 0.0000 0.0000 0.0000
Al1 0.0000 0.5000 0.2494
Rh1 0.0000 0.0000 0.5103
Rh2 0.0000 0.5000 0.7442
```

MnAlRh2: single point on PBEsol structure, meta-GGA SCAN.

## Properties
The density of states at the Fermi level is 15.58 states/eV/cell. Its calculated volume is 217.4 Å³/cell. For the formation energy, the calculation gives -1.81 eV/f.u. The total magnetic moment is 19.4 μB/cell.

```
data_MnAlRh2
_chemical_formula_sum 'Mn4 Al4 Rh8'
_cell_length_a 6.0128
_cell_length_b 6.0128
_cell_length_c 6.0128
_cell_angle_alpha 90.00
_cell_angle_beta 90.00
_cell_angle_gamma 90.00
_symmetry_space_group_name_H-M 'F -4 3 m'
_symmetry_Int_Tables_number 216
_symmetry_space_group_name_Hall 'F -4 2 3'
loop_
_atom_site_label
_atom_site_fract_x
_atom_site_fract_y
_atom_site_fract_z
Mn1 0.0000 0.0000 0.0000
Al1 0.2500 0.2500 0.2500
Rh1 0.0000 0.0000 0.5000
Rh2 0.2500 0.2500 0.7500
```

MnAlRh: single point on PBEsol structure, meta-GGA SCAN.

## Properties
The density of states at the Fermi level is 1.48 states/eV/cell. Its calculated volume is 40.7 Å³/cell. For the formation energy, the calculation gives -1.97 eV/f.u. The total magnetic moment is 4.1 μB/cell.

```
data_MnAlRh
_chemical_formula_sum 'Mn1 Al1 Rh1'
_cell_length_a 4.1311
_cell_length_b 4.1311
_cell_length_c 2.7517
_cell_angle_alpha 90.00
_cell_angle_beta 90.00
_cell_angle_gamma 120.00
_symmetry_space_group_name_H-M 'P 3 m 1'
_symmetry_Int_Tables_number 156
_symmetry_space_group_name_Hall 'P 3 -2"'
loop_
_atom_site_label
_atom_site_fract_x
_atom_site_fract_y
_atom_site_fract_z
Mn1 0.0000 0.0000 0.0000
Al1 0.3333 0.6667 0.3697
Rh1 0.6667 0.3333 0.6561
```

MnAlRh: single point on PBEsol structure, meta-GGA SCAN.

## Properties
The density of states at the Fermi level is 3.44 states/eV/cell. Its calculated volume is 75.8 Å³/cell. For the formation energy, the calculation gives -1.82 eV/f.u. The total magnetic moment is 6.3 μB/cell.

```
data_MnAlRh
_chemical_formula_sum 'Mn2 Al2 Rh2'
_cell_length_a 2.7482
_cell_length_b 2.7482
_cell_length_c 10.0310
_cell_angle_alpha 90.00
_cell_angle_beta 90.00
_cell_angle_gamma 90.00
_symmetry_space_group_name_H-M 'I 4 m m'
_symmetry_Int_Tables_number 107
_symmetry_space_group_name_Hall 'I 4 -2'
loop_
_atom_site_label
_atom_site_fract_x
_atom_site_fract_y
_atom_site_fract_z
Mn1 0.0000 0.0000 0.0000
Al1 0.0000 0.0000 0.3341
Rh1 0.0000 0.0000 0.6644
```

MnAlRh2: single point on PBEsol structure, meta-GGA SCAN.

## Properties
The density of states at the Fermi level is 2.71 states/eV/cell. Its calculated volume is 53.5 Å³/cell. For the formation energy, the calculation gives -2.58 eV/f.u. The total magnetic moment is 3.9 μB/cell.

```
data_MnAlRh2
_chemical_formula_sum 'Mn1 Al1 Rh2'
_cell_length_a 2.7703
_cell_length_b 3.7360
_cell_length_c 5.1735
_cell_angle_alpha 90.00
_cell_angle_beta 90.00
_cell_angle_gamma 90.00
_symmetry_space_group_name_H-M 'P m m 2'
_symmetry_Int_Tables_number 25
_symmetry_space_group_name_Hall 'P 2 -2'
loop_
_atom_site_label
_atom_site_fract_x
_atom_site_fract_y
_atom_site_fract_z
Mn1 0.0000 0.0000 0.0000
Al1 0.5000 0.5000 0.7095
Rh1 0.0000 0.0000 0.5065
Rh2 0.5000 0.5000 0.1987
```

MnAlRh2: single point on PBEsol structure, meta-GGA SCAN.

## Properties
The density of states at the Fermi level is 6.52 states/eV/cell. Its calculated volume is 162.3 Å³/cell. For the formation energy, the calculation gives -2.41 eV/f.u. The total magnetic moment is 12.9 μB/cell.

```
data_MnAlRh2
_chemical_formula_sum 'Mn3 Al3 Rh6'
_cell_length_a 2.7739
_cell_length_b 2.7739
_cell_length_c 24.3551
_cell_angle_alpha 90.00
_cell_angle_beta 90.00
_cell_angle_gamma 120.00
_symmetry_space_group_name_H-M 'R -3 m'
_symmetry_Int_Tables_number 166
_symmetry_space_group_name_Hall '-R 3 2"'
loop_
_atom_site_label
_atom_site_fract_x
_atom_site_fract_y
_atom_site_fract_z
Mn1 0.0000 0.0000 0.0000
Al1 0.0000 0.0000 0.5000
Rh1 0.0000 0.0000 0.2481
```

MnAlRh3: single point on PBEsol structure, meta-GGA SCAN.

## Properties
The density of states at the Fermi level is 3.70 states/eV/cell. Its calculated volume is 82.1 Å³/cell. For the formation energy, the calculation gives 3.96 eV/f.u. The total magnetic moment is 0.0 μB/cell.

```
data_MnAlRh3
_chemical_formula_sum 'Mn1 Al1 Rh3'
_cell_length_a 4.3460
_cell_length_b 4.3460
_cell_length_c 4.3460
_cell_angle_alpha 90.00
_cell_angle_beta 90.00
_cell_angle_gamma 90.00
_symmetry_space_group_name_H-M 'P m -3 m'
_symmetry_Int_Tables_number 221
_symmetry_space_group_name_Hall '-P 4 2 3'
loop_
_atom_site_label
_atom_site_fract_x
_atom_site_fract_y
_atom_site_fract_z
Mn1 0.0000 0.0000 0.0000
Al1 0.5000 0.5000 0.5000
Rh1 0.0000 0.0000 0.5000
```

MnAl2Ru: single point on PBEsol structure, meta-GGA SCAN.

## Properties
The density of states at the Fermi level is 1.56 states/eV/cell. Its calculated volume is 51.8 Å³/cell. For the formation energy, the calculation gives -2.76 eV/f.u. The total magnetic moment is 2.8 μB/cell.

```
data_MnAl2Ru
_chemical_formula_sum 'Mn1 Al2 Ru1'
_cell_length_a 4.1364
_cell_length_b 4.1364
_cell_length_c 3.0294
_cell_angle_alpha 90.00
_cell_angle_beta 90.00
_cell_angle_gamma 90.00
_symmetry_space_group_name_H-M 'P 4/m m m'
_symmetry_Int_Tables_number 123
_symmetry_space_group_name_Hall '-P 4 2'
loop_
_atom_site_label
_atom_site_fract_x
_atom_site_fract_y
_atom_site_fract_z
Mn1 0.0000 0.0000 0.0000
Al1 0.0000 0.5000 0.5000
Ru1 0.5000 0.5000 0.0000
```

MnAl2Ru: single point on PBEsol structure, meta-GGA SCAN.

## Properties
The density of states at the Fermi level is 6.55 states/eV/cell. Its calculated volume is 106.5 Å³/cell. For the formation energy, the calculation gives -2.04 eV/f.u. The total magnetic moment is 7.5 μB/cell.

```
data_MnAl2Ru
_chemical_formula_sum 'Mn2 Al4 Ru2'
_cell_length_a 3.6859
_cell_length_b 3.6859
_cell_length_c 7.8404
_cell_angle_alpha 90.00
_cell_angle_beta 90.00
_cell_angle_gamma 90.00
_symmetry_space_group_name_H-M 'I -4 m 2'
_symmetry_Int_Tables_number 119
_symmetry_space_group_name_Hall 'I -4 -2'
loop_
_atom_site_label
_atom_site_fract_x
_atom_site_fract_y
_atom_site_fract_z
Mn1 0.0000 0.0000 0.0000
Al1 0.0000 0.0000 0.5000
Al2 0.0000 0.5000 0.7500
Ru1 0.0000 0.5000 0.2500
```

MnAl2S: single point on PBEsol structure, meta-GGA SCAN.

## Properties
The density of states at the Fermi level is 7.61 states/eV/cell. Its calculated volume is 254.4 Å³/cell. For the uncorrected formation energy, the calculation gives -84.4 meV per atom. The total magnetic moment is 16.0 μB/cell.

```
data_MnAl2S
_chemical_formula_sum 'Mn4 Al8 S4'
_cell_length_a 6.8778
_cell_length_b 6.8778
_cell_length_c 5.3783
_cell_angle_alpha 90.00
_cell_angle_beta 90.00
_cell_angle_gamma 90.00
_symmetry_space_group_name_H-M 'I -4 2 d'
_symmetry_Int_Tables_number 122
_symmetry_space_group_name_Hall 'I -4 2bw'
loop_
_atom_site_label
_atom_site_fract_x
_atom_site_fract_y
_atom_site_fract_z
Mn1 0.0000 0.0000 0.0000
Al1 0.2262 0.7500 0.6250
S1 0.0000 0.0000 0.5000
```

Sm3MnAlS7: single point on PBEsol structure, meta-GGA SCAN.

## Properties
Its calculated volume is 496.2 Å³/cell. For the uncorrected formation energy, the calculation gives -1954.4 meV per atom. The total magnetic moment is 10.0 μB/cell.

```
data_Sm3MnAlS7
_chemical_formula_sum 'Sm6 Mn2 Al2 S14'
_cell_length_a 9.7114
_cell_length_b 9.7114
_cell_length_c 6.0751
_cell_angle_alpha 90.00
_cell_angle_beta 90.00
_cell_angle_gamma 120.00
_symmetry_space_group_name_H-M 'P 63'
_symmetry_Int_Tables_number 173
_symmetry_space_group_name_Hall 'P 6c'
loop_
_atom_site_label
_atom_site_fract_x
_atom_site_fract_y
_atom_site_fract_z
Sm1 0.1522 0.3773 0.0000
Mn1 0.0000 0.0000 0.2977
Al1 0.3333 0.6667 0.4217
S1 0.0906 0.5706 0.2712
S2 0.1005 0.2422 0.5690
S3 0.3333 0.6667 0.7876
```

MnAlSb2: single point on PBEsol structure, meta-GGA SCAN.

## Properties
The density of states at the Fermi level is 2.16 states/eV/cell. Its calculated volume is 82.3 Å³/cell. For the uncorrected formation energy, the calculation gives 160.8 meV per atom. The total magnetic moment is 4.2 μB/cell.

```
data_MnAlSb2
_chemical_formula_sum 'Mn1 Al1 Sb2'
_cell_length_a 3.7027
_cell_length_b 4.4269
_cell_length_c 5.0218
_cell_angle_alpha 90.00
_cell_angle_beta 90.00
_cell_angle_gamma 90.00
_symmetry_space_group_name_H-M 'P m m m'
_symmetry_Int_Tables_number 47
_symmetry_space_group_name_Hall '-P 2 2'
loop_
_atom_site_label
_atom_site_fract_x
_atom_site_fract_y
_atom_site_fract_z
Mn1 0.0000 0.0000 0.0000
Al1 0.0000 0.5000 0.5000
Sb1 0.5000 0.0000 0.5000
Sb2 0.5000 0.5000 0.0000
```

MnAlSb2: single point on PBEsol structure, meta-GGA SCAN.

## Properties
The density of states at the Fermi level is 4.20 states/eV/cell. Its calculated volume is 167.9 Å³/cell. For the uncorrected formation energy, the calculation gives 133.9 meV per atom. The total magnetic moment is 8.2 μB/cell.

```
data_MnAlSb2
_chemical_formula_sum 'Mn2 Al2 Sb4'
_cell_length_a 6.0572
_cell_length_b 7.7354
_cell_length_c 3.6897
_cell_angle_alpha 90.00
_cell_angle_beta 103.77
_cell_angle_gamma 90.00
_symmetry_space_group_name_H-M 'C 1 2/m 1'
_symmetry_Int_Tables_number 12
_symmetry_space_group_name_Hall '-C 2y'
loop_
_atom_site_label
_atom_site_fract_x
_atom_site_fract_y
_atom_site_fract_z
Mn1 0.0000 0.0000 0.0000
Al1 0.0000 0.5000 0.0000
Sb1 0.2500 0.2500 0.5000
```